Here is a relaxed Tb2SmTl crystal from Alexandria via LeMat-Bulk. Energies are from PBE.

Cell lengths 4.716, 4.829, 11.255 Å; angles 90.00, 102.07, 90.00 degrees
Positions (direct):
Tb1 0.059 0.250 0.116
Tb2 0.434 0.250 0.869
Tb3 0.566 0.750 0.131
Tb4 0.941 0.750 0.884
Sm1 0.194 0.750 0.387
Sm2 0.806 0.250 0.613
Tl1 0.336 0.750 0.672
Tl2 0.664 0.250 0.328

Here is a relaxed TbSm2TmTl2 crystal from Alexandria via LeMat-Bulk. Energies are from PBE.

Cell lengths 5.120, 10.088, 6.866 Å; angles 90.00, 90.00, 90.00 degrees
Positions (direct):
Tb1 0.000 0.043 0.000
Tb2 0.000 0.957 0.500
Sm1 0.000 0.314 0.371
Sm2 0.000 0.686 0.871
Sm3 0.500 0.456 0.094
Sm4 0.500 0.544 0.594
Tm1 0.500 0.186 0.717
Tm2 0.500 0.814 0.217
Tl1 0.000 0.357 0.838
Tl2 0.000 0.643 0.338
Tl3 0.500 0.126 0.259
Tl4 0.500 0.874 0.759

Here is a relaxed TbSmTmTl crystal from Alexandria via LeMat-Bulk. Energies are from PBE.

Cell lengths 4.837, 4.864, 4.905 Å; angles 90.00, 90.00, 90.00 degrees
Positions (direct):
Tb1 0.000 0.000 0.000
Sm1 0.500 0.500 0.000
Tm1 0.000 0.500 0.500
Tl1 0.500 0.000 0.500

Here is a relaxed Tb2Sm6Tm3Tl crystal from Alexandria via LeMat-Bulk. Energies are from PBE.

Cell lengths 6.149, 6.149, 11.727 Å; angles 95.03, 95.03, 120.08 degrees
Positions (direct):
Tb1 0.166 0.834 0.000
Tb2 0.834 0.166 0.000
Sm1 0.088 0.416 0.749
Sm2 0.255 0.255 0.252
Sm3 0.416 0.088 0.749
Sm4 0.584 0.912 0.251
Sm5 0.745 0.745 0.748
Sm6 0.912 0.584 0.251
Tm1 0.000 0.000 0.500
Tm2 0.333 0.667 0.500
Tm3 0.667 0.333 0.500
Tl1 0.500 0.500 0.000

Here is a relaxed TbSmTmTl crystal from Alexandria via LeMat-Bulk. Energies are from PBE.

Cell lengths 5.491, 5.491, 5.491 Å; angles 60.00, 60.00, 60.00 degrees
Positions (direct):
Tb1 0.000 0.000 0.000
Sm1 0.500 0.500 0.500
Tm1 0.250 0.250 0.250
Tl1 0.750 0.750 0.750

Here is a relaxed Tb2SmTmTl4 crystal from Alexandria via LeMat-Bulk. Energies are from PBE.

Cell lengths 9.357, 9.357, 9.357 Å; angles 33.45, 33.45, 33.45 degrees
Positions (direct):
Tb1 0.249 0.249 0.249
Tb2 0.751 0.751 0.751
Sm1 0.000 0.000 0.000
Tm1 0.500 0.500 0.500
Tl1 0.126 0.126 0.126
Tl2 0.376 0.376 0.376
Tl3 0.624 0.624 0.624
Tl4 0.874 0.874 0.874

Here is a relaxed TbSmYTl crystal from Alexandria via LeMat-Bulk. Energies are from PBE.

Cell lengths 5.516, 5.516, 5.516 Å; angles 60.00, 60.00, 60.00 degrees
Positions (direct):
Tb1 0.000 0.000 0.000
Sm1 0.750 0.750 0.750
Y1 0.250 0.250 0.250
Tl1 0.500 0.500 0.500

Here is a relaxed TbSmYTl crystal from Alexandria via LeMat-Bulk. Energies are from PBE.

Cell lengths 4.859, 4.880, 4.947 Å; angles 90.00, 90.00, 90.00 degrees
Positions (direct):
Tb1 0.000 0.000 0.000
Sm1 0.500 0.500 0.000
Y1 0.000 0.500 0.500
Tl1 0.500 0.000 0.500

Here is a relaxed TbSm2YTl2 crystal from Alexandria via LeMat-Bulk. Energies are from PBE.

Cell lengths 5.158, 10.128, 6.858 Å; angles 90.00, 90.00, 90.00 degrees
Positions (direct):
Tb1 0.000 0.184 0.000
Tb2 0.000 0.816 0.500
Sm1 0.000 0.458 0.373
Sm2 0.000 0.542 0.873
Sm3 0.500 0.313 0.647
Sm4 0.500 0.687 0.147
Y1 0.500 0.042 0.280
Y2 0.500 0.958 0.780
Tl1 0.000 0.130 0.534
Tl2 0.000 0.870 0.034
Tl3 0.500 0.360 0.118
Tl4 0.500 0.640 0.618

Here is a relaxed TbSmTlZn crystal from Alexandria via LeMat-Bulk. Energies are from PBE.

Cell lengths 3.707, 3.707, 7.539 Å; angles 90.00, 90.00, 90.00 degrees
Positions (direct):
Tb1 0.000 0.000 0.000
Sm1 0.000 0.000 0.456
Tl1 0.500 0.500 0.734
Zn1 0.500 0.500 0.220

Here is a relaxed TbSm2Tl2Zn2 crystal from Alexandria via LeMat-Bulk. Energies are from PBE.

Cell lengths 9.759, 9.759, 9.759 Å; angles 28.20, 28.20, 28.20 degrees
Positions (direct):
Tb1 0.000 0.000 0.000
Sm1 0.126 0.126 0.126
Sm2 0.874 0.874 0.874
Tl1 0.264 0.264 0.264
Tl2 0.736 0.736 0.736
Zn1 0.391 0.391 0.391
Zn2 0.609 0.609 0.609

Here is a relaxed TbSmTlZn crystal from Alexandria via LeMat-Bulk. Energies are from PBE.

Cell lengths 5.294, 5.294, 5.294 Å; angles 60.00, 60.00, 60.00 degrees
Positions (direct):
Tb1 0.000 0.000 0.000
Sm1 0.500 0.500 0.500
Tl1 0.250 0.250 0.250
Zn1 0.750 0.750 0.750

no.,formation energy from the elements (eV per atom),calculated total energy (hartree per atom)
1,-0.15,-0.1556
2,-0.27,-0.1524
3,-0.18,-0.1553
4,-0.02,-0.1640
5,-0.05,-0.1506
6,-0.34,-0.1408
7,-0.05,-0.1688
8,-0.19,-0.1741
9,-0.28,-0.1650
10,-0.35,-0.1324
11,-0.18,-0.1186
12,-0.33,-0.1315